[1]
Density functional theory data (PBE) for a geometry-optimized PmNbGe2Os structure.

Calculated values
ΔE_f, meV/atom: -459
Theoretical density, g/cm³: 9.87
Magnetization, μB per atom: 0.00
Raw total energy, eV/cell: -37.58

a b c (Å): 4.100 4.100 6.428
angles (deg): 108.60 108.60 90.00
Fractional coordinates of all 5 atoms:
Os  0.750  0.250  0.500
Pm  0.000  0.000  0.000
Ge  0.612  0.612  0.223
Ge  0.388  0.388  0.777
Nb  0.250  0.750  0.500

[2]
Density functional theory data (PBE) for a geometry-optimized LiPCl2 structure.

Calculated values
Energy relative to the lowest polymorph listed for this composition, meV/atom: 289
Formation energy (no corrections), meV/atom: -371
Theoretical density, g/cm³: 1.73
Magnetization, μB per atom: 0.25
Raw total energy, eV/cell: -12.50

a b c (Å): 3.368 6.524 4.747
angles (deg): 90.00 90.00 90.00
Fractional coordinates of all 4 atoms:
Li  0.000  0.000  0.328
P  0.500  0.500  0.886
Cl  0.000  0.000  0.828
Cl  0.500  0.500  0.458

[3]
Density functional theory data (PBE) for a geometry-optimized Ac2ZnGe structure.

Calculated values
ΔE_f, meV/atom: -420
Energy relative to the lowest polymorph listed for this composition, meV/atom: 84
Theoretical density, g/cm³: 8.29
Magnetization, μB per atom: 0.00
Raw total energy, eV/cell: -15.79

a b c (Å): 5.516 5.516 5.516
angles (deg): 60.00 60.00 60.00
Fractional coordinates of all 4 atoms:
Ge  0.500  0.500  0.500
Ac  0.250  0.250  0.250
Ac  0.750  0.750  0.750
Zn  0.000  0.000  0.000

[4]
Density functional theory data (PBE) for a geometry-optimized Ga4PdPt structure.

Calculated values
ΔE_f, meV/atom: -509
Energy relative to the lowest polymorph listed for this composition, meV/atom: 0
Theoretical density, g/cm³: 8.93
Magnetization, μB per atom: 0.00
Raw total energy, eV/cell: -26.39

a b c (Å): 4.202 4.203 6.112
angles (deg): 89.98 89.99 90.01
Fractional coordinates of all 6 atoms:
Ga  0.501  0.997  0.249
Ga  0.501  0.997  0.748
Ga  0.001  0.497  0.249
Ga  0.001  0.497  0.748
Pd  0.001  0.997  0.498
Pt  0.501  0.497  0.998

[5]
Density functional theory data (PBE) for a geometry-optimized BaZr2BeOs structure.

Calculated values
ΔE_f, meV/atom: 392
Theoretical density, g/cm³: 6.86
Magnetization, μB per atom: 0.00
Raw total energy, eV/cell: -32.02

a b c (Å): 5.140 4.758 5.140
angles (deg): 90.00 90.00 90.00
Fractional coordinates of all 5 atoms:
Be  0.000  0.500  0.000
Ba  0.500  0.500  0.500
Zr  0.000  0.000  0.500
Zr  0.500  0.000  0.000
Os  0.000  0.000  0.000

[6]
Density functional theory data (PBE) for a geometry-optimized InAg2Pb structure.

Calculated values
ΔE_f, meV/atom: 85
Theoretical density, g/cm³: 9.67
Magnetization, μB per atom: 0.00
Raw total energy, eV/cell: -11.81

a b c (Å): 4.750 4.749 4.092
angles (deg): 90.00 90.00 90.00
Fractional coordinates of all 4 atoms:
Pb  0.000  0.500  0.500
Ag  0.500  0.500  0.000
Ag  0.000  0.000  0.000
In  0.500  0.000  0.500

[7]
Density functional theory data (PBE) for a geometry-optimized Cs3SrC structure.

Calculated values
ΔE_f, meV/atom: 1117
Theoretical density, g/cm³: 2.80
Magnetization, μB per atom: 0.00
Raw total energy, eV/cell: -7.88

a b c (Å): 6.662 6.662 6.662
angles (deg): 90.00 90.00 90.00
Fractional coordinates of all 5 atoms:
Cs  0.000  0.500  0.000
Cs  0.000  0.000  0.500
Cs  0.500  0.000  0.000
C  0.000  0.000  0.000
Sr  0.500  0.500  0.500

[8]
Density functional theory data (PBE) for a geometry-optimized Li3PdPb structure.

Calculated values
ΔE_f, meV/atom: -81
Energy relative to the lowest polymorph listed for this composition, meV/atom: 275
Theoretical density, g/cm³: 5.33
Magnetization, μB per atom: 0.00
Raw total energy, eV/cell: -15.05

a b c (Å): 4.707 4.707 4.707
angles (deg): 90.00 90.00 90.00
Fractional coordinates of all 5 atoms:
Li  0.000  0.500  0.000
Li  0.500  0.000  0.000
Li  0.000  0.000  0.500
Pd  0.000  0.000  0.000
Pb  0.500  0.500  0.500